DFT (PBE) results for crystalline MgCuSe3 at its relaxed geometry. Values from VASP.

Geometry as Quantum ESPRESSO input:
```
&SYSTEM
  ibrav = 0, nat = 10, ntyp = 3
/
ATOMIC_SPECIES
Mg 24.30 Mg.upf
Cu 63.55 Cu.upf
Se 78.96 Se.upf
CELL_PARAMETERS angstrom
3.7758 -3.9121 0.0000
3.7758 3.9121 0.0000
0.0000 0.0000 8.0011
ATOMIC_POSITIONS angstrom
Mg 0.0000 0.0000 0.0000
Mg 0.0000 0.0000 4.0006
Cu 3.7758 1.6041 6.0008
Cu 3.7758 -1.6041 2.0003
Se 1.8281 0.3944 2.0003
Se 3.7758 2.1748 2.0003
Se 1.8281 -0.3944 6.0008
Se 5.7235 0.3944 2.0003
Se 3.7758 -2.1748 6.0008
Se 5.7235 -0.3944 6.0008
```

Values from the calculation:
* total magnetization: 0.00 μB/f.u.
* formation energy without anion corrections: -242 meV/atom



DFT (PBE) results for crystalline CsAgPSe4 at its relaxed geometry. Values from VASP.

Geometry as Quantum ESPRESSO input:
```
&SYSTEM
  ibrav = 0, nat = 14, ntyp = 4
/
ATOMIC_SPECIES
Cs 132.91 Cs.upf
Ag 107.87 Ag.upf
P 30.97 P.upf
Se 78.96 Se.upf
CELL_PARAMETERS angstrom
6.8283 0.0000 0.0000
0.0000 7.0426 0.0000
-2.9241 0.0000 9.1671
ATOMIC_POSITIONS angstrom
Cs 1.3080 1.7607 0.9908
Cs 2.5962 5.2820 8.1763
Ag -0.5322 5.2820 4.2893
Ag 4.4364 1.7607 4.8778
P 0.5355 1.7607 6.5391
P 3.3687 5.2820 2.6280
Se -0.9421 0.0409 6.4248
Se -0.9421 3.4804 6.4248
Se 2.2840 5.2820 0.7474
Se 1.7864 1.7607 4.6974
Se 2.1178 5.2820 4.4697
Se 1.6202 1.7607 8.4197
Se 4.8463 3.5622 2.7423
Se 4.8463 7.0017 2.7423
```

Values from the calculation:
* total magnetization: 0.00 μB/f.u.
* formation energy without anion corrections: -349 meV/atom



DFT (PBE) results for crystalline RbCdAg2 at its relaxed geometry. Values from VASP.

Geometry as Quantum ESPRESSO input:
```
&SYSTEM
  ibrav = 0, nat = 4, ntyp = 3
/
ATOMIC_SPECIES
Rb 85.47 Rb.upf
Cd 112.41 Cd.upf
Ag 107.87 Ag.upf
CELL_PARAMETERS angstrom
3.6911 0.0000 0.0000
0.0000 3.6911 0.0000
0.0000 0.0000 8.0811
ATOMIC_POSITIONS angstrom
Rb 0.0000 0.0000 0.0000
Cd 0.0000 0.0000 4.0405
Ag 1.8455 1.8455 2.6299
Ag 1.8455 1.8455 5.4512
```

Values from the calculation:
* DFT formation energy: 0.124 eV per atom
* total magnetization: 0.00 μB/f.u.



DFT (PBE) results for crystalline Th3NiPd2 at its relaxed geometry. Values from VASP.

Geometry as Quantum ESPRESSO input:
```
&SYSTEM
  ibrav = 0, nat = 24, ntyp = 3
/
ATOMIC_SPECIES
Th 232.04 Th.upf
Ni 58.69 Ni.upf
Pd 106.42 Pd.upf
CELL_PARAMETERS angstrom
11.9248 0.0000 0.0000
0.0000 3.9687 0.0000
0.0000 0.0000 12.2309
ATOMIC_POSITIONS angstrom
Th 0.7023 0.9922 1.6048
Th 1.4446 2.9765 6.8680
Th 2.7059 0.9922 9.8899
Th 3.2565 2.9765 3.7744
Th 4.5178 0.9922 0.7526
Th 5.2601 2.9765 7.7203
Th 6.6646 0.9922 4.5106
Th 7.4069 2.9765 11.4783
Th 8.6683 0.9922 8.4565
Th 9.2189 2.9765 2.3410
Th 10.4802 0.9922 5.3629
Th 11.2225 2.9765 10.6261
Ni 1.4798 0.9922 4.7473
Ni 4.4826 2.9765 10.8628
Ni 7.4422 0.9922 1.3681
Ni 10.4449 2.9765 7.4836
Pd 0.0153 2.9765 3.6734
Pd 2.0743 2.9765 12.1532
Pd 3.8880 0.9922 6.0378
Pd 5.9471 0.9922 9.7888
Pd 5.9776 2.9765 2.4421
Pd 8.0367 2.9765 6.1931
Pd 9.8504 0.9922 0.0777
Pd 11.9095 0.9922 8.5575
```

Values from the calculation:
* DFT formation energy: -0.592 eV per atom
* total magnetization: 0.00 μB/f.u.



DFT (PBE) results for crystalline Sc2AgPb2 at its relaxed geometry. Values from VASP.

Geometry as Quantum ESPRESSO input:
```
&SYSTEM
  ibrav = 0, nat = 5, ntyp = 3
/
ATOMIC_SPECIES
Sc 44.96 Sc.upf
Ag 107.87 Ag.upf
Pb 207.20 Pb.upf
CELL_PARAMETERS angstrom
-2.1182 2.1182 7.6206
2.1182 -2.1182 7.6206
2.1182 2.1182 -7.6206
ATOMIC_POSITIONS angstrom
Sc 0.0000 0.0000 1.5051
Sc 0.0000 0.0000 13.7360
Ag 0.0000 0.0000 7.6206
Pb 2.1182 0.0000 3.8103
Pb 0.0000 2.1182 3.8103
```

Values from the calculation:
* DFT formation energy: 0.193 eV per atom
* total magnetization: 0.00 μB/f.u.



DFT (PBE) results for crystalline MnP2Ru at its relaxed geometry. Values from VASP.

Geometry as Quantum ESPRESSO input:
```
&SYSTEM
  ibrav = 0, nat = 4, ntyp = 3
/
ATOMIC_SPECIES
Mn 54.94 Mn.upf
P 30.97 P.upf
Ru 101.07 Ru.upf
CELL_PARAMETERS angstrom
-1.7029 1.7029 4.5013
1.7029 -1.7029 4.5013
1.7029 1.7029 -4.5013
ATOMIC_POSITIONS angstrom
Mn 0.0000 0.0000 0.0000
P 1.7029 0.0000 2.2506
P 0.0000 0.0000 4.5013
Ru 0.0000 1.7029 2.2506
```

Values from the calculation:
* DFT formation energy: -0.010 eV per atom
* total magnetization: 2.41 μB/f.u.



Short version: raw total energy = -34.7, -51.0, -7.1, -167.9, -22.0, -29.3 eV for the cell shown, in the order given.